# 1
Density functional theory data (PBE-GGA) for a geometry-optimized NdZrS2O structure.

a b c (Å): 3.8268 3.8268 13.3953
angles (deg): 90.00 90.00 90.00
Closest atoms and distances in Å follow each position.
Fractional coordinates of all 10 atoms:
Nd1 0.2500 0.2500 0.0958  4 O 2.30
Nd2 0.7500 0.7500 0.9042  4 O 2.30
Zr1 0.2500 0.2500 0.6027  6 S 2.44-2.72
Zr2 0.7500 0.7500 0.3973  6 S 2.44-2.72
S1 0.2500 0.2500 0.3999  5 Zr 2.71-2.72
S2 0.2500 0.2500 0.7849  1 Zr 2.44
S3 0.7500 0.7500 0.2151  1 Zr 2.44
S4 0.7500 0.7500 0.6001  5 Zr 2.71-2.72
O1 0.2500 0.7500 0.0000  4 Nd 2.30
O2 0.7500 0.2500 0.0000  4 Nd 2.30

Calculated values
Formation energy (no corrections), eV/atom: -2.207

=====

# 2
Density functional theory data (PBE-GGA) for a geometry-optimized Nd4Sb6O19 structure.

a b c (Å): 8.2887 8.2887 8.2887
angles (deg): 110.64 108.92 108.87
Closest atoms and distances in Å follow each position.
Fractional coordinates of all 29 atoms:
Nd1 0.0176 0.7235 0.0178  4 O 2.23-2.49
Nd2 0.2943 0.2765 0.2941  4 O 2.23-2.49
Nd3 0.7057 0.9998 0.9822  4 O 2.23-2.49
Nd4 0.9824 0.0002 0.7059  4 O 2.23-2.49
Sb1 0.1616 0.6616 0.5000  6 O 1.96-2.08
Sb2 0.3363 0.5000 0.8363  6 O 1.98-2.07
Sb3 0.5000 0.1573 0.6573  4 O 2.11-2.22
Sb4 0.5000 0.8427 0.3427  4 O 2.11-2.22
Sb5 0.6637 0.5000 0.1637  6 O 1.98-2.07
Sb6 0.8384 0.3384 0.5000  6 O 1.96-2.08
O1 0.0000 0.0000 0.0000  4 Nd 2.40
O2 0.0000 0.3597 0.3597  2 Sb 2.04
O3 0.0000 0.6403 0.6403  2 Sb 2.04
O4 0.0455 0.3069 0.6897  2 Sb 2.02-2.08
O5 0.2480 0.9447 0.6498  1 Sb 1.96
O6 0.2834 0.0000 0.2834  2 Nd 2.23
O7 0.2948 0.5982 0.3502  1 Sb 1.96
O8 0.3018 0.6841 0.0346  2 Sb 1.98-2.11
O9 0.3506 0.3160 0.6178  2 Sb 1.98-2.11
O10 0.3608 0.3608 0.0000  2 Sb 2.07
O11 0.3827 0.6931 0.7386  2 Sb 2.02-2.08
O12 0.6173 0.3558 0.3103  2 Sb 2.02-2.08
O13 0.6392 0.6392 0.0000  2 Sb 2.07
O14 0.6494 0.2672 0.9654  2 Sb 1.98-2.11
O15 0.6982 0.7328 0.3822  2 Sb 1.98-2.11
O16 0.7052 0.0553 0.3034  1 Sb 1.96
O17 0.7166 0.0000 0.7166  2 Nd 2.23
O18 0.7520 0.4018 0.6966  1 Sb 1.96
O19 0.9545 0.6442 0.2614  2 Sb 2.02-2.08

Calculated values
Formation energy (no corrections), eV/atom: -2.011

=====

# 3
Density functional theory data (PBE-GGA) for a geometry-optimized NdSbO3 structure.

a b c (Å): 4.2649 4.2649 4.2649
angles (deg): 90.00 90.00 90.00
Closest atoms and distances in Å follow each position.
Fractional coordinates of all 5 atoms:
Nd1 0.0000 0.0000 0.0000  12 O 3.02
Sb1 0.5000 0.5000 0.5000  6 O 2.13
O1 0.0000 0.5000 0.5000  2 Sb 2.13
O2 0.5000 0.0000 0.5000  2 Sb 2.13
O3 0.5000 0.5000 0.0000  2 Sb 2.13

Calculated values
Formation energy (no corrections), eV/atom: -1.655

=====

# 4
Density functional theory data (PBE-GGA) for a geometry-optimized Nd6SbO12 structure.

a b c (Å): 6.7473 6.7473 6.7473
angles (deg): 98.73 98.73 98.73
Closest atoms and distances in Å follow each position.
Fractional coordinates of all 19 atoms:
Nd1 0.1093 0.7983 0.6400  6 O 2.32-2.51
Nd2 0.2017 0.3600 0.8907  6 O 2.32-2.51
Nd3 0.3600 0.8907 0.2017  6 O 2.32-2.51
Nd4 0.6400 0.1093 0.7983  6 O 2.32-2.51
Nd5 0.7983 0.6400 0.1093  6 O 2.32-2.51
Nd6 0.8907 0.2017 0.3600  6 O 2.32-2.51
Sb1 0.5000 0.5000 0.5000  6 O 2.05
O1 0.0582 0.9098 0.3226  4 Nd 2.32-2.44
O2 0.0902 0.6774 0.9418  4 Nd 2.32-2.44
O3 0.2033 0.4341 0.5381  1 Sb 2.05
O4 0.3226 0.0582 0.9098  4 Nd 2.32-2.44
O5 0.4341 0.5381 0.2033  1 Sb 2.05
O6 0.4619 0.7967 0.5659  1 Sb 2.05
O7 0.5381 0.2033 0.4341  1 Sb 2.05
O8 0.5659 0.4619 0.7967  1 Sb 2.05
O9 0.6774 0.9418 0.0902  4 Nd 2.32-2.44
O10 0.7967 0.5659 0.4619  1 Sb 2.05
O11 0.9098 0.3226 0.0582  4 Nd 2.32-2.44
O12 0.9418 0.0902 0.6774  4 Nd 2.32-2.44

Calculated values
Formation energy (no corrections), eV/atom: -2.966

=====

Question: Which value of formation energy (no corrections) does entry 1 give?
Answer: -2.207 eV/atom

=====

Question: The lowest formation energy (no corrections) belongs to which entry?
Answer: Nd6SbO12

=====

Question: What is the formula in the second record?
Answer: Nd4Sb6O19

=====

Repeat the fourth record exactly.
Density functional theory data (PBE-GGA) for a geometry-optimized Nd6SbO12 structure.

a b c (Å): 6.7473 6.7473 6.7473
angles (deg): 98.73 98.73 98.73
Closest atoms and distances in Å follow each position.
Fractional coordinates of all 19 atoms:
Nd1 0.1093 0.7983 0.6400  6 O 2.32-2.51
Nd2 0.2017 0.3600 0.8907  6 O 2.32-2.51
Nd3 0.3600 0.8907 0.2017  6 O 2.32-2.51
Nd4 0.6400 0.1093 0.7983  6 O 2.32-2.51
Nd5 0.7983 0.6400 0.1093  6 O 2.32-2.51
Nd6 0.8907 0.2017 0.3600  6 O 2.32-2.51
Sb1 0.5000 0.5000 0.5000  6 O 2.05
O1 0.0582 0.9098 0.3226  4 Nd 2.32-2.44
O2 0.0902 0.6774 0.9418  4 Nd 2.32-2.44
O3 0.2033 0.4341 0.5381  1 Sb 2.05
O4 0.3226 0.0582 0.9098  4 Nd 2.32-2.44
O5 0.4341 0.5381 0.2033  1 Sb 2.05
O6 0.4619 0.7967 0.5659  1 Sb 2.05
O7 0.5381 0.2033 0.4341  1 Sb 2.05
O8 0.5659 0.4619 0.7967  1 Sb 2.05
O9 0.6774 0.9418 0.0902  4 Nd 2.32-2.44
O10 0.7967 0.5659 0.4619  1 Sb 2.05
O11 0.9098 0.3226 0.0582  4 Nd 2.32-2.44
O12 0.9418 0.0902 0.6774  4 Nd 2.32-2.44

Calculated values
Formation energy (no corrections), eV/atom: -2.966